1.
First-principles (PBE) data for an optimized crystal structure of Mg2AgOs, as listed in Alexandria via LeMat-Bulk.

Values from the calculation:
- energy of formation from the pure elements (eV per atom) = 0.116

Cell and atoms, written as POSCAR:
```
Mg2AgOs
1.0
-2.744 -0.384 0.940
-0.731 -1.134 -2.596
1.905 -7.213 2.615
Mg Os Ag
2 1 1
Direct
0.000 0.000 0.018
0.000 0.000 0.482
0.500 0.500 0.250
0.500 0.500 0.750
```

---

2.
First-principles (PBE) data for an optimized crystal structure of B2C, as listed in Alexandria via LeMat-Bulk.

Values from the calculation:
- energy relative to the lowest polymorph listed for this composition (meV/atom) = 292.5
- energy of formation from the pure elements (eV per atom) = 0.478

Cell and atoms, written as POSCAR:
```
B2C
1.0
-0.572 -2.196 -0.676
-0.519 -1.220 4.404
-7.321 2.002 -0.309
B C
8 4
Direct
0.250 0.143 0.189
0.750 0.641 0.000
0.250 0.156 0.500
0.750 0.857 0.811
0.750 0.857 0.189
0.750 0.844 0.500
0.250 0.143 0.811
0.250 0.359 0.000
0.250 0.407 0.665
0.750 0.593 0.665
0.250 0.407 0.335
0.750 0.593 0.335
```

---

3.
First-principles (PBE) data for an optimized crystal structure of HoEr2ScSb4, as listed in Alexandria via LeMat-Bulk.

Values from the calculation:
- final energy (eV/atom) = -5.6148

Cell and atoms, written as POSCAR:
```
HoEr2ScSb4
1.0
-5.793 0.989 -1.653
-1.815 -4.559 3.632
3.159 5.718 3.625
Sb Sc Er Ho
4 1 2 1
Direct
0.682 0.682 0.490
0.437 0.937 0.000
0.192 0.192 0.510
0.937 0.437 0.000
0.438 0.438 0.000
0.687 0.187 0.500
0.187 0.687 0.500
0.937 0.937 0.000
```

---

4.
First-principles (PBE) data for an optimized crystal structure of TiMn2Pd8, as listed in Alexandria via LeMat-Bulk.

Values from the calculation:
- energy relative to the lowest polymorph listed for this composition (meV/atom) = 53.5
- energy of formation from the pure elements (eV per atom) = -0.296

Cell and atoms, written as POSCAR:
```
TiMn2Pd8
1.0
3.961 0.000 -1.205
-1.028 5.947 -3.378
0.035 0.088 7.225
Pd Ti Mn
8 1 2
Direct
0.149 0.149 0.297
0.851 0.851 0.703
0.344 0.121 0.687
0.344 0.566 0.687
0.000 0.701 0.000
0.000 0.299 0.000
0.656 0.879 0.313
0.656 0.434 0.313
0.500 0.000 0.000
0.193 0.693 0.386
0.807 0.307 0.614
```

---

5.
First-principles (PBE) data for an optimized crystal structure of YTeSe2, as listed in Alexandria via LeMat-Bulk.

Values from the calculation:
- final energy (eV/atom) = -4.8702

Cell and atoms, written as POSCAR:
```
YTeSe2
1.0
8.780 -0.028 -0.016
7.916 3.797 -0.016
7.916 1.787 3.351
Y Se Te
1 2 1
Direct
0.750 0.750 0.750
0.484 0.484 0.484
0.016 0.016 0.016
0.250 0.250 0.250
```

---

6.
First-principles (PBE) data for an optimized crystal structure of Ac3Lu5S12, as listed in Alexandria via LeMat-Bulk.

Values from the calculation:
- final energy (eV/atom) = -6.2655

Cell and atoms, written as POSCAR:
```
Ac3Lu5S12
1.0
14.198 0.000 0.000
-4.733 13.386 0.000
-4.733 -6.693 11.593
Lu Ac S
20 12 48
Direct
0.500 0.000 0.500
0.875 0.250 0.625
0.500 0.500 0.500
0.000 0.000 0.500
0.500 0.500 0.000
0.625 0.750 0.875
0.750 0.125 0.875
0.750 0.625 0.375
0.375 0.125 0.750
0.000 0.500 0.000
0.125 0.375 0.250
0.375 0.250 0.125
0.625 0.875 0.250
0.000 0.500 0.500
0.125 0.750 0.375
0.875 0.625 0.750
0.500 0.000 0.000
0.000 0.000 0.000
0.250 0.375 0.625
0.250 0.875 0.125
0.375 0.625 0.250
0.875 0.125 0.250
0.750 0.875 0.625
0.625 0.375 0.750
0.250 0.625 0.875
0.375 0.750 0.625
0.125 0.250 0.875
0.625 0.250 0.375
0.250 0.125 0.375
0.750 0.375 0.125
0.875 0.750 0.125
0.125 0.875 0.750
0.824 0.913 0.288
0.911 0.087 0.875
0.625 0.036 0.212
0.824 0.911 0.036
0.913 0.089 0.625
0.464 0.676 0.089
0.411 0.036 0.324
0.464 0.788 0.875
0.324 0.536 0.411
0.911 0.824 0.536
0.212 0.676 0.087
0.212 0.536 0.625
0.788 0.324 0.913
0.536 0.324 0.911
0.413 0.125 0.589
0.288 0.875 0.964
0.089 0.176 0.464
0.324 0.788 0.413
0.036 0.625 0.712
0.625 0.589 0.913
0.964 0.589 0.176
0.036 0.411 0.824
0.913 0.824 0.788
0.676 0.464 0.589
0.176 0.089 0.964
0.375 0.411 0.087
0.125 0.712 0.536
0.589 0.625 0.413
0.676 0.212 0.587
0.712 0.125 0.036
0.288 0.413 0.824
0.125 0.413 0.089
0.087 0.911 0.375
0.176 0.087 0.712
0.536 0.212 0.125
0.964 0.375 0.288
0.875 0.288 0.464
0.089 0.913 0.125
0.375 0.964 0.788
0.589 0.964 0.676
0.087 0.176 0.212
0.413 0.288 0.324
0.411 0.375 0.587
0.788 0.464 0.375
0.712 0.587 0.176
0.587 0.875 0.411
0.587 0.712 0.676
0.875 0.587 0.911
```

---

7.
First-principles (PBE) data for an optimized crystal structure of PmTm2UO8, as listed in Alexandria via LeMat-Bulk.

Values from the calculation:
- final energy (eV/atom) = -8.6684

Cell and atoms, written as POSCAR:
```
PmTm2UO8
1.0
3.877 -0.019 -0.002
0.026 5.271 -0.006
0.005 0.008 7.582
O Pm U Tm
8 1 1 2
Direct
0.000 0.754 0.775
0.000 0.246 0.225
0.000 0.246 0.775
0.500 0.269 0.500
0.000 0.754 0.225
0.500 0.236 0.000
0.500 0.764 0.000
0.500 0.731 0.500
0.000 0.000 0.500
0.000 0.000 0.000
0.500 0.500 0.241
0.500 0.500 0.759
```

---

8.
First-principles (PBE) data for an optimized crystal structure of MnSb2Pt, as listed in Alexandria via LeMat-Bulk.

Values from the calculation:
- energy relative to the lowest polymorph listed for this composition (meV/atom) = 178.8

Cell and atoms, written as POSCAR:
```
MnSb2Pt
1.0
4.659 0.000 0.000
0.000 4.655 0.000
0.000 0.000 3.613
Mn Pt Sb
1 1 2
Direct
0.500 0.000 0.500
0.000 0.500 0.500
0.000 0.000 0.000
0.500 0.500 0.000
```